DFT (GGA+U) results for a relaxed Ba2FeIr3O12 crystal.

Geometry as POSCAR:
```
Ba2FeIr3O12
1.0
7.085 -0.031 -0.022
3.472 6.176 -0.022
3.472 2.021 5.836
Ba Fe Ir O
2 1 3 12
Direct
0.617 0.617 0.617
0.383 0.383 0.383
0.000 0.000 0.000
0.500 0.000 0.000
0.000 0.500 0.000
0.000 0.000 0.500
0.327 0.327 0.906
0.919 0.919 0.335
0.335 0.919 0.919
0.906 0.327 0.327
0.919 0.335 0.919
0.327 0.906 0.327
0.673 0.673 0.094
0.081 0.081 0.665
0.665 0.081 0.081
0.094 0.673 0.673
0.081 0.665 0.081
0.673 0.094 0.673
```

Properties
calculated volume = 14.3 A^3/atom
calculated total energy = -6.562 eV per atom